Sc2BeTl: optimized geometry, PBEsol.

Values from the calculation:
**E above lowest polymorph**: 58 meV per atom
**Raw total energy**: -0.36928 Ry/atom

abc: 10.8232 3.3799 4.6372
angles: 90.00 115.29 90.00
With the nearest neighbours (Å) after each atom.
Space group Cm (No. 8)
Symmetry-distinct sites (fractional):
Sc 0.0000 0.0000 0.0000 [2 per cell]  4 Tl 2.93, 2 Be 2.95, 4 Sc 3.17-3.20
Sc 0.2254 0.0000 0.7254 [2 per cell]  4 Be 2.87-2.88, 2 Tl 3.13-3.14, 4 Sc 3.17-3.20
Be 0.2467 0.5000 0.2460 [2 per cell]  2 Tl 2.54
Tl 0.4411 0.0000 0.4412 [2 per cell]  2 Be 2.54